A relaxed structure of Tl2PtBr, computed with PBE.

E above lowest polymorph in meV per atom: 226.3
Formation energy without anion corrections in eV per atom: 0.00

abc: 4.3210 6.3926 8.3013
angles: 90.00 90.00 90.00
Atoms (fractional coordinates):
Tl  0.0000  0.0000  0.2091
Tl  0.0000  0.0000  0.7909
Tl  0.5000  0.5000  0.2909
Tl  0.5000  0.5000  0.7091
Pt  0.0000  0.5000  0.5000
Pt  0.5000  0.0000  0.0000
Br  0.0000  0.5000  0.0000
Br  0.5000  0.0000  0.5000